(1)
TiPbS2, optimized geometry, DFT PBE-GGA; E_form (uncorrected) = -0.503 eV/atom
1.0
-0.5590 -3.9253 0.2260
2.9013 -0.5659 -2.6521
3.7556 -0.2946 4.1713
Pb S Ti
1 2 1
direct
0.5000 0.5000 0.0000 Pb
0.5000 0.5000 0.5000 S
0.0000 0.0000 0.0000 S
0.0000 0.0000 0.5000 Ti

***

(2)
Cs12K4Au, optimized geometry, DFT PBE-GGA; formation energy = 25 kJ/mol of atoms
1.0
-5.6259 -4.1525 13.7954
-9.3972 -5.1369 -11.1585
14.0742 -6.1294 -1.8853
Cs K Au
12 4 1
direct
0.6653 0.0000 0.3347 Cs
0.3347 0.3347 0.6694 Cs
0.3347 0.6694 0.3347 Cs
0.0000 0.3347 0.6653 Cs
0.0000 0.6653 0.3347 Cs
0.6653 0.6653 0.3306 Cs
0.3347 0.6653 0.0000 Cs
0.6653 0.3306 0.6653 Cs
0.3306 0.6653 0.6653 Cs
0.6653 0.3347 0.0000 Cs
0.3347 0.0000 0.6653 Cs
0.6694 0.3347 0.3347 Cs
0.0000 0.5000 0.0000 K
0.5000 0.5000 0.5000 K
0.5000 0.0000 0.0000 K
0.0000 0.0000 0.5000 K
0.0000 0.0000 0.0000 Au

***

(3)
PrTlZn, optimized geometry, DFT PBE-GGA; formation energy = -33 kJ/mol of atoms
1.0
-2.6530 -3.4612 -2.0116
1.9080 -5.6684 1.5040
-5.0764 -1.3248 3.2417
Zn Pr Tl
2 2 2
direct
0.6941 0.2833 0.3286 Zn
0.3059 0.6714 0.7167 Zn
0.0000 0.6456 0.3544 Pr
0.5000 0.1492 0.8508 Pr
0.2687 0.0463 0.4163 Tl
0.7313 0.5837 0.9537 Tl

***

(4)
HgPb3Cl8, optimized geometry, DFT PBE-GGA; E_form (uncorrected) = -0.988 eV/atom
1.0
-7.3651 -3.9441 -2.4989
6.1562 -4.5214 4.2076
-5.2217 2.9214 10.7791
Pb Cl Hg
6 16 2
direct
0.1696 0.3392 0.2084 Pb
0.6608 0.8304 0.2084 Pb
0.8304 0.6608 0.7084 Pb
0.1696 0.8304 0.2084 Pb
0.8304 0.1696 0.7084 Pb
0.3392 0.1696 0.7084 Pb
0.5241 0.0481 0.8471 Cl
0.8211 0.1789 0.0968 Cl
0.4759 0.9519 0.3471 Cl
0.4759 0.5241 0.3471 Cl
0.3578 0.1789 0.0968 Cl
0.1789 0.8211 0.5968 Cl
0.0000 0.0000 0.3264 Cl
0.5241 0.4759 0.8471 Cl
0.6422 0.8211 0.5968 Cl
0.0000 0.0000 0.8264 Cl
0.1789 0.3578 0.5968 Cl
0.0481 0.5241 0.3471 Cl
0.8211 0.6422 0.0968 Cl
0.3333 0.6667 0.0827 Cl
0.9519 0.4759 0.8471 Cl
0.6667 0.3333 0.5827 Cl
0.3333 0.6667 0.4909 Hg
0.6667 0.3333 0.9909 Hg

***

(5)
Ni3GePt, optimized geometry, DFT PBE-GGA; formation energy = -17 kJ/mol of atoms; energy above the most stable polymorph in this dataset = 0.000 eV/atom
1.0
-5.0030 4.8661 0.1682
-1.8244 -1.7689 -3.1289
-5.4442 -4.5507 5.7430
Ni Ge Pt
12 4 4
direct
0.0676 0.2499 0.8693 Ni
0.8547 0.7499 0.8702 Ni
0.3248 0.2500 0.6578 Ni
0.3757 0.7501 0.4855 Ni
0.7741 0.2500 0.0383 Ni
0.4712 0.2498 0.2757 Ni
0.1453 0.2501 0.1298 Ni
0.9324 0.7501 0.1307 Ni
0.2259 0.7500 0.9617 Ni
0.6752 0.7500 0.3422 Ni
0.5288 0.7502 0.7243 Ni
0.6243 0.2499 0.5145 Ni
0.8433 0.2501 0.2900 Ge
0.2417 0.7500 0.2550 Ge
0.1567 0.7499 0.7100 Ge
0.7583 0.2500 0.7450 Ge
0.8692 0.7499 0.5655 Pt
0.4489 0.2501 0.9126 Pt
0.1308 0.2501 0.4345 Pt
0.5511 0.7499 0.0874 Pt

***

(6)
PmYNiGe, optimized geometry, DFT PBE-GGA; formation energy = -48 kJ/mol of atoms
1.0
5.0067 0.0000 0.0000
2.5034 4.3359 0.0000
2.5034 1.4453 4.0880
Pm Ni Ge Y
1 1 1 1
direct
0.5000 0.5000 0.5000 Pm
0.7500 0.7500 0.7500 Ni
0.2500 0.2500 0.2500 Ge
0.0000 0.0000 0.0000 Y

***

(7)
CsSrCr2, optimized geometry, DFT PBE-GGA; formation energy = 115 kJ/mol of atoms; energy above the most stable polymorph in this dataset = 0.000 eV/atom
1.0
2.1702 4.7222 2.6337
-2.3583 1.9026 4.9764
2.9292 -0.5444 5.0069
Sr Cr Cs
1 2 1
direct
0.0000 0.0000 0.0000 Sr
0.7500 0.7500 0.7500 Cr
0.2500 0.2500 0.2500 Cr
0.5000 0.5000 0.5000 Cs